# Ba2LaRu (PBE-GGA, relaxed)
# DFT formation energy = 525 meV/atom
# calculated total energy = -3.99 eV/atom
# E above lowest polymorph = 0.464 eV per atom
# symmetry = No. 139
data_Ba2LaRu
_space_group_name_H-M_alt 'P 1'
_space_group_IT_number 1
_cell_length_a 6.6875
_cell_length_b 6.6875
_cell_length_c 6.6875
_cell_angle_alpha 139.31
_cell_angle_beta 139.31
_cell_angle_gamma 58.90
loop_
_space_group_symop_operation_xyz
'x,y,z'
loop_
_atom_site_label
_atom_site_type_symbol
_atom_site_fract_x
_atom_site_fract_y
_atom_site_fract_z
Ba1 Ba 0.5000 0.5000 0.0000
Ba2 Ba 0.0000 0.0000 0.0000
Ru1 Ru 0.7500 0.2500 0.5000
La1 La 0.2500 0.7500 0.5000